Density functional theory data (PBE) for Zr6Ir3N after structural relaxation.

DFT total energy: -188.1 eV for the cell shown
crystal system: monoclinic
DOS(E_F): 15.63 states/eV/cell
uncorrected formation energy: -0.786 eV per atom

Cell lengths 5.806, 7.269, 10.361 Å; angles 90.00, 119.81, 90.00 degrees
Space group P2_1/c (No. 14)
One atom of each set of equivalent atoms:
Zr1 0.078 0.054 0.238 x4
Zr2 0.210 0.720 0.068 x4
Zr3 0.381 0.147 0.051 x4
Ir1 0.315 0.100 0.725 x4
Ir2 0.500 0.000 0.500 x2
N1 0.000 0.000 0.000 x2



Density functional theory data (PBE) for ZrIrN2 after structural relaxation.

DFT total energy: -71.7 eV for the cell shown
crystal system: orthorhombic
E above lowest polymorph: 85.5 meV per atom
DOS(E_F): 6.78 states/eV/cell
uncorrected formation energy: -0.453 eV per atom

Cell lengths 3.034, 3.157, 10.375 Å; angles 90.00, 90.00, 90.00 degrees
Space group Amm2 (No. 38)
One atom of each set of equivalent atoms:
Zr1 0.000 0.000 0.000 x2
Ir1 0.500 0.000 0.236 x2
N1 0.500 0.000 0.573 x2
N2 0.500 0.000 0.847 x2



Density functional theory data (PBE) for ZrIrN2 after structural relaxation.

DFT total energy: -71.6 eV for the cell shown
crystal system: monoclinic
E above lowest polymorph: 101.3 meV per atom
DOS(E_F): 3.75 states/eV/cell
uncorrected formation energy: -0.437 eV per atom

Cell lengths 6.010, 5.151, 3.176 Å; angles 90.00, 104.07, 90.00 degrees
Space group C2 (No. 5)
One atom of each set of equivalent atoms:
Zr1 0.000 0.000 0.000 x2
Ir1 0.000 0.507 0.500 x2
N1 0.220 0.195 0.615 x4